(1)
Dy7Ho2Tm2, optimized geometry, DFT PBE; total magnetic moment = 0.00 Bohr magnetons per cell; ΔE_f = 164.9 meV per atom; DOS at the Fermi energy = 16.636 states/eV/f.u.; polymorph energy (0 for the lowest one) = 56 meV per atom
1.0
5.743 -1.606 -0.466
-1.388 9.667 5.278
-1.063 2.081 7.584
Tm Dy Ho
2 7 2
direct
0.802 0.586 0.000
0.198 0.414 0.000
0.825 0.059 0.530
0.175 0.410 0.530
0.175 0.941 0.470
0.412 0.768 0.000
0.000 0.000 0.000
0.588 0.232 0.000
0.825 0.590 0.470
0.500 0.217 0.566
0.500 0.783 0.434

=====

(2)
VAsRhBr2, optimized geometry, DFT PBE; total magnetic moment = 3.05 Bohr magnetons per cell; DOS at the Fermi energy = 9.082 states/eV/f.u.; energy relative to the elements, uncorrected = 59.7 kJ/mol of atoms; polymorph energy (0 for the lowest one) = 0 meV per atom
1.0
4.991 0.000 0.000
0.000 4.991 0.000
0.000 0.000 4.850
Rh As Br V
1 1 2 1
direct
0.500 0.500 0.500
0.000 0.000 0.500
0.500 0.000 0.000
0.000 0.500 0.000
0.000 0.000 0.000

=====

(3)
LaNiB3, optimized geometry, DFT PBE; total magnetic moment = 0.00 Bohr magnetons per cell; ΔE_f = 445.7 meV per atom; DOS at the Fermi energy = 6.006 states/eV/f.u.; polymorph energy (0 for the lowest one) = 0 meV per atom
1.0
4.007 0.000 0.000
0.000 4.007 0.000
0.000 0.000 4.007
La B Ni
1 3 1
direct
0.500 0.500 0.500
0.500 0.000 0.000
0.000 0.500 0.000
0.000 0.000 0.500
0.000 0.000 0.000

=====

(4)
K2LiB, optimized geometry, DFT PBE; total magnetic moment = 3.82 Bohr magnetons per cell; ΔE_f = 796.2 meV per atom; DOS at the Fermi energy = 1.257 states/eV/f.u.
1.0
11.938 0.000 0.000
0.000 11.938 0.000
5.969 5.969 2.260
K Li B
4 2 2
direct
0.875 0.063 0.750
0.375 0.187 0.750
0.937 0.625 0.250
0.813 0.125 0.250
0.250 0.750 0.500
0.500 0.500 0.000
0.750 0.250 0.500
0.000 0.000 0.000

=====

(5)
Cs3HgMo, optimized geometry, DFT PBE; total magnetic moment = 5.58 Bohr magnetons per cell; ΔE_f = 987.6 meV per atom; DOS at the Fermi energy = 5.190 states/eV/f.u.; polymorph energy (0 for the lowest one) = 0 meV per atom
1.0
-4.391 5.179 -2.254
-5.635 -4.213 1.295
-0.390 2.570 6.665
Cs Mo Hg
3 1 1
direct
0.500 0.000 0.000
0.000 0.500 0.000
0.000 0.000 0.500
0.500 0.500 0.500
0.000 0.000 0.000

=====

(6)
Y4BeAs, optimized geometry, DFT PBE; total magnetic moment = 0.00 Bohr magnetons per cell; ΔE_f = 641.5 meV per atom; DOS at the Fermi energy = 8.216 states/eV/f.u.
1.0
1.408 -5.369 2.654
0.203 -0.440 6.133
-4.330 -3.177 3.001
Y Be As
4 1 1
direct
0.375 0.375 0.876
0.876 0.375 0.375
0.375 0.375 0.375
0.375 0.876 0.375
0.000 0.000 0.000
0.750 0.750 0.750

=====

(7)
Mo4Ru5, optimized geometry, DFT PBE; total magnetic moment = 0.00 Bohr magnetons per cell; ΔE_f = 77.8 meV per atom; DOS at the Fermi energy = 8.398 states/eV/f.u.; polymorph energy (0 for the lowest one) = 23 meV per atom
1.0
-3.696 -4.614 -4.694
2.355 -7.111 -0.933
-3.207 -1.599 4.097
Ru Mo
10 8
direct
0.339 0.661 0.250
0.661 0.000 0.250
0.000 0.661 0.750
0.333 0.333 0.000
0.000 0.339 0.250
0.333 0.333 0.500
0.667 0.667 0.500
0.339 0.000 0.750
0.661 0.339 0.750
0.667 0.667 0.000
0.000 0.000 0.000
0.670 0.330 0.250
0.330 0.670 0.750
0.000 0.000 0.500
0.000 0.670 0.250
0.330 0.000 0.250
0.000 0.330 0.750
0.670 0.000 0.750

=====

(8)
AlZn8, optimized geometry, DFT PBE; total magnetic moment = 0.00 Bohr magnetons per cell; ΔE_f = 24.1 meV per atom; DOS at the Fermi energy = 2.286 states/eV/f.u.; polymorph energy (0 for the lowest one) = 0 meV per atom
1.0
-1.993 -0.573 -3.296
-4.737 -3.901 1.243
-4.481 4.359 -0.348
Zn Al
8 1
direct
0.333 0.000 0.335
0.666 0.334 0.334
0.000 0.334 0.666
0.667 0.000 0.665
0.333 0.335 0.000
0.334 0.666 0.666
0.667 0.665 0.000
0.000 0.666 0.334
0.000 0.000 0.000

=====

(9)
PS2ClO, optimized geometry, DFT PBE; total magnetic moment = 0.54 Bohr magnetons per cell; DOS at the Fermi energy = 4.641 states/eV/f.u.; energy relative to the elements, uncorrected = 90.7 kJ/mol of atoms; polymorph energy (0 for the lowest one) = 0 meV per atom
1.0
-3.393 1.712 0.645
-1.611 -3.440 0.657
1.669 0.594 7.206
O Cl S P
1 1 2 1
direct
0.000 0.000 0.000
0.500 0.500 0.500
0.500 0.000 0.000
0.000 0.500 0.000
0.000 0.000 0.500

=====

(10)
Ho12Tm3Zr, optimized geometry, DFT PBE; total magnetic moment = 0.00 Bohr magnetons per cell; ΔE_f = 36.3 meV per atom; DOS at the Fermi energy = 20.809 states/eV/f.u.
1.0
-0.674 -4.809 0.940
3.020 0.340 3.903
-15.378 4.408 11.516
Ho Tm Zr
12 3 1
direct
0.500 0.500 0.500
0.500 0.000 0.373
0.000 0.500 0.881
0.500 0.000 0.881
0.000 0.500 0.119
0.000 0.500 0.373
0.500 0.000 0.627
0.500 0.000 0.119
0.500 0.500 0.752
0.500 0.500 0.000
0.500 0.500 0.248
0.000 0.500 0.627
0.000 0.000 0.500
0.000 0.000 0.248
0.000 0.000 0.752
0.000 0.000 0.000

=====

(11)
LaNdPb, optimized geometry, DFT PBE; total magnetic moment = 0.00 Bohr magnetons per cell; ΔE_f = -185.6 meV per atom; DOS at the Fermi energy = 4.972 states/eV/f.u.; polymorph energy (0 for the lowest one) = 280 meV per atom
1.0
-4.585 0.479 -3.976
-0.126 -3.629 -0.291
-3.882 1.218 9.283
Pb La Nd
2 2 2
direct
0.156 0.656 0.312
0.844 0.344 0.688
0.670 0.170 0.339
0.330 0.830 0.661
0.252 0.500 0.000
0.748 0.500 0.000

=====

(12)
Na3RhS, optimized geometry, DFT PBE; total magnetic moment = 2.00 Bohr magnetons per cell; DOS at the Fermi energy = 7.326 states/eV/f.u.; energy relative to the elements, uncorrected = 52.3 kJ/mol of atoms; polymorph energy (0 for the lowest one) = 375 meV per atom
1.0
5.311 0.000 0.000
0.000 5.311 0.000
0.000 0.000 5.311
Na S Rh
3 1 1
direct
0.000 0.000 0.500
0.000 0.500 0.000
0.500 0.000 0.000
0.500 0.500 0.500
0.000 0.000 0.000

=====

(13)
ThNF, optimized geometry, DFT PBE; total magnetic moment = 0.00 Bohr magnetons per cell; DOS at the Fermi energy = 0.350 states/eV/f.u.; energy relative to the elements, uncorrected = -207.0 kJ/mol of atoms; polymorph energy (0 for the lowest one) = 712 meV per atom
1.0
-0.956 3.215 0.945
-3.085 -1.228 1.059
4.015 -1.825 3.844
Th F N
1 1 1
direct
0.769 0.769 0.539
0.972 0.972 0.944
0.259 0.259 0.517

=====

(14)
TaMo3Cl, optimized geometry, DFT PBE; total magnetic moment = 0.13 Bohr magnetons per cell; DOS at the Fermi energy = 8.909 states/eV/f.u.; energy relative to the elements, uncorrected = 207.3 kJ/mol of atoms; polymorph energy (0 for the lowest one) = 1174 meV per atom
1.0
-1.966 4.011 1.934
-2.248 -2.719 3.353
3.844 0.460 2.951
Mo Ta Cl
3 1 1
direct
0.000 0.000 0.500
0.500 0.000 0.000
0.000 0.500 0.000
0.000 0.000 0.000
0.500 0.500 0.500

=====

(15)
NaHfBi3, optimized geometry, DFT PBE; total magnetic moment = 0.00 Bohr magnetons per cell; ΔE_f = 71.4 meV per atom; DOS at the Fermi energy = 4.225 states/eV/f.u.; polymorph energy (0 for the lowest one) = 0 meV per atom
1.0
5.692 0.000 0.000
0.000 5.692 0.000
0.000 0.000 5.692
Bi Na Hf
3 1 1
direct
0.500 0.000 0.000
0.000 0.500 0.000
0.000 0.000 0.500
0.500 0.500 0.500
0.000 0.000 0.000

=====

(16)
SnPHS, optimized geometry, DFT PBE; total magnetic moment = 0.00 Bohr magnetons per cell; polymorph energy (0 for the lowest one) = 68 meV per atom
1.0
-6.598 2.913 1.020
-1.303 -3.523 1.631
3.471 1.374 5.741
S Sn H P
2 2 2 2
direct
0.266 0.500 0.193
0.266 0.000 0.693
0.781 0.000 0.860
0.781 0.500 0.360
0.306 0.500 0.010
0.306 0.000 0.510
0.962 0.000 0.573
0.962 0.500 0.073

=====

(17)
Ca2MgInNi, optimized geometry, DFT PBE; total magnetic moment = 0.00 Bohr magnetons per cell; ΔE_f = -119.6 meV per atom; DOS at the Fermi energy = 2.941 states/eV/f.u.
1.0
5.348 0.000 0.000
0.000 5.348 0.000
0.000 0.000 4.971
Ni Mg Ca In
1 1 2 1
direct
0.000 0.000 0.000
0.500 0.500 0.500
0.500 0.000 0.000
0.000 0.500 0.000
0.000 0.000 0.500

=====

(18)
CuBi3Pb3S8, optimized geometry, DFT PBE; total magnetic moment = 0.10 Bohr magnetons per cell; DOS at the Fermi energy = 6.912 states/eV/f.u.; energy relative to the elements, uncorrected = -29.7 kJ/mol of atoms
1.0
8.136 0.000 0.000
-4.068 7.044 -0.025
0.000 -4.673 6.850
S Cu Pb Bi
8 1 3 3
direct
0.234 0.010 0.286
0.223 0.446 0.713
0.776 0.010 0.286
0.766 0.990 0.714
0.224 0.990 0.714
0.254 0.509 0.263
0.777 0.554 0.287
0.746 0.491 0.737
0.000 0.000 0.500
0.000 0.000 0.000
0.000 0.500 0.000
0.500 0.500 0.000
0.500 0.000 0.500
0.000 0.500 0.500
0.500 0.500 0.500

=====

(19)
Pr3Y2Sc2, optimized geometry, DFT PBE; total magnetic moment = 0.00 Bohr magnetons per cell; ΔE_f = 40.2 meV per atom; DOS at the Fermi energy = 10.357 states/eV/f.u.; polymorph energy (0 for the lowest one) = 0 meV per atom
1.0
3.537 -0.012 0.023
-1.742 8.288 -0.150
-0.065 -3.952 7.644
Pr Sc Y
3 2 2
direct
0.704 0.409 0.293
0.000 0.000 0.000
0.296 0.591 0.707
0.070 0.139 0.435
0.930 0.861 0.565
0.368 0.737 0.182
0.632 0.263 0.818

=====

(20)
Tb2Dy5Tm4, optimized geometry, DFT PBE; total magnetic moment = 0.00 Bohr magnetons per cell; ΔE_f = 215.8 meV per atom; DOS at the Fermi energy = 15.876 states/eV/f.u.; polymorph energy (0 for the lowest one) = 70 meV per atom
1.0
3.463 0.000 0.000
0.000 8.911 0.000
-1.731 -4.455 11.510
Dy Tb Tm
5 2 4
direct
0.143 0.946 0.287
0.143 0.341 0.287
0.857 0.659 0.713
0.857 0.054 0.713
0.500 0.000 0.000
0.268 0.268 0.537
0.732 0.732 0.463
0.000 0.688 0.000
0.403 0.403 0.806
0.597 0.597 0.194
0.000 0.312 0.000

=====

(21)
SmN2Cl3, optimized geometry, DFT PBE; total magnetic moment = 11.97 Bohr magnetons per cell; DOS at the Fermi energy = 0.000 states/eV/f.u.; energy relative to the elements, uncorrected = 22.7 kJ/mol of atoms
1.0
5.179 0.000 1.654
0.000 8.213 0.000
-0.219 -0.001 9.675
N Cl Sm
4 6 2
direct
0.685 0.750 0.632
0.683 0.250 0.632
0.317 0.750 0.368
0.315 0.250 0.368
0.097 0.000 0.807
0.903 0.000 0.193
0.903 0.500 0.193
0.500 0.250 0.000
0.500 0.750 0.000
0.097 0.500 0.807
0.000 0.250 0.000
0.000 0.750 0.000

=====

(22)
YCo2Cu, optimized geometry, DFT PBE; total magnetic moment = 2.38 Bohr magnetons per cell; ΔE_f = 248.4 meV per atom; DOS at the Fermi energy = 4.840 states/eV/f.u.; polymorph energy (0 for the lowest one) = 355 meV per atom
1.0
4.213 0.000 0.000
0.000 3.116 0.016
0.000 0.920 4.901
Cu Co Y
1 2 1
direct
0.500 0.250 0.250
0.000 0.443 0.433
0.000 0.057 0.067
0.500 0.750 0.750

=====

(23)
ReSeBr2, optimized geometry, DFT PBE; total magnetic moment = 0.17 Bohr magnetons per cell; DOS at the Fermi energy = 2.903 states/eV/f.u.; energy relative to the elements, uncorrected = 34.7 kJ/mol of atoms; polymorph energy (0 for the lowest one) = 316 meV per atom
1.0
-3.762 -6.676 -1.703
-1.398 -7.724 0.053
-2.834 -0.748 3.367
Br Re Se
2 1 1
direct
0.106 0.106 0.893
0.394 0.394 0.607
0.750 0.750 0.750
0.250 0.250 0.250

=====

(24)
TaMnCdBr2, optimized geometry, DFT PBE; total magnetic moment = 3.49 Bohr magnetons per cell; DOS at the Fermi energy = 2.583 states/eV/f.u.; energy relative to the elements, uncorrected = 45.7 kJ/mol of atoms
1.0
-0.427 4.469 2.489
1.439 -2.356 4.478
4.919 1.044 -1.031
Ta Cd Mn Br
1 1 1 2
direct
0.000 0.000 0.000
0.500 0.500 0.500
0.000 0.500 0.000
0.000 0.000 0.500
0.500 0.000 0.000

=====

(25)
LaZn2Au4, optimized geometry, DFT PBE; total magnetic moment = 0.00 Bohr magnetons per cell; ΔE_f = -536.4 meV per atom; DOS at the Fermi energy = 2.779 states/eV/f.u.
1.0
-2.779 -4.509 1.137
1.878 -4.951 -2.141
1.431 -2.958 4.671
Au Zn La
4 2 1
direct
0.302 0.000 0.396
0.302 0.396 0.000
0.698 0.000 0.604
0.698 0.604 0.000
0.250 0.500 0.500
0.750 0.500 0.500
0.000 0.000 0.000

=====

| no. | volume (Å³ per cell) |
| --- | --- |
| 1 | 346.66 |
| 2 | 120.82 |
| 3 | 64.34 |
| 4 | 322.12 |
| 5 | 366.17 |
| 6 | 164.68 |
| 7 | 268.59 |
| 8 | 137.88 |
| 9 | 110.25 |
| 10 | 482.28 |
| 11 | 210.56 |
| 12 | 149.76 |
| 13 | 64.44 |
| 14 | 115.33 |
| 15 | 184.43 |
| 16 | 197.14 |
| 17 | 142.14 |
| 18 | 391.60 |
| 19 | 221.96 |
| 20 | 355.11 |
| 21 | 414.51 |
| 22 | 64.27 |
| 23 | 102.78 |
| 24 | 138.63 |
| 25 | 136.95 |